BaNaScF6 | GGA-PBE | relaxed

```
data_BaNaScF6
_chemical_formula_sum 'Ba2 Na2 Sc2 F12'
_cell_length_a 5.7940
_cell_length_b 5.7940
_cell_length_c 10.9538
_cell_angle_alpha 90.00
_cell_angle_beta 90.00
_cell_angle_gamma 120.00
_space_group_name_H-M_alt 'P -3 1 c'
_space_group_IT_number 163
_space_group_name_Hall '-P 3 2c'
loop_
_atom_site_label
_atom_site_fract_x
_atom_site_fract_y
_atom_site_fract_z
_atom_site_occupancy
Ba1 0.0000 0.0000 0.0000 1
Na1 0.3333 0.6667 0.2500 1
Sc1 0.3333 0.6667 0.7500 1
F1 0.0359 0.3826 0.6449 1
```

Computed properties:
- Crystal system: trigonal
- Energy: -6.006 eV/atom